No. 1
Computed, not measured: crystalline AlIrPt2 at its relaxed geometry at the PBE level of DFT.

Cell: 2.791 2.791 7.604 Å, 90.00 90.00 90.00°
Sites, in units of the cell vectors:
Al1 0.000 0.000 0.000
Ir1 0.000 0.000 0.500
Pt1 0.500 0.500 0.231
Pt2 0.500 0.500 0.769

SG = P4/mmm, No. 123
Energy relative to the elements = -0.44 eV/atom
Crystal system = tetragonal

=====

No. 2
Computed, not measured: crystalline AlIrPt2 at its relaxed geometry at the PBE level of DFT.

Cell: 9.492 9.492 9.492 Å, 156.98 156.98 32.79°
Sites, in units of the cell vectors:
Al1 0.000 0.000 0.000
Al2 0.750 0.250 0.500
Ir1 0.250 0.750 0.500
Ir2 0.500 0.500 0.000
Pt1 0.127 0.625 0.002
Pt2 0.375 0.377 0.502
Pt3 0.623 0.125 0.998
Pt4 0.875 0.873 0.498

SG = I-42d, No. 122
Energy relative to the elements = -0.13 eV/atom
Crystal system = tetragonal

=====

No. 3
Computed, not measured: crystalline Al8Ir2Pt at its relaxed geometry at the PBE level of DFT.

Cell: 4.151 6.475 7.372 Å, 116.03 102.87 90.01°
Sites, in units of the cell vectors:
Al1 0.000 0.000 0.000
Al2 0.048 0.504 0.111
Al3 0.235 0.372 0.471
Al4 0.334 0.870 0.685
Al5 0.432 0.586 0.899
Al6 0.619 0.078 0.260
Al7 0.667 0.686 0.371
Al8 0.836 0.190 0.686
Ir1 0.158 0.939 0.364
Ir2 0.509 0.261 0.007
Pt1 0.834 0.595 0.685

SG = P1, No. 1
Energy relative to the elements = -0.58 eV/atom
Crystal system = triclinic

=====

No. 4
Computed, not measured: crystalline AlIr2Pt at its relaxed geometry at the PBE level of DFT.

Cell: 4.394 4.394 4.394 Å, 60.00 60.00 60.00°
Sites, in units of the cell vectors:
Al1 0.000 0.000 0.000
Ir1 0.250 0.250 0.250
Ir2 0.500 0.500 0.500
Pt1 0.750 0.750 0.750

SG = F-43m, No. 216
Energy relative to the elements = -0.12 eV/atom
Crystal system = cubic

=====

No. 5
Computed, not measured: crystalline AlIrPt2 at its relaxed geometry at the PBE level of DFT.

Cell: 2.812 2.812 7.500 Å, 90.00 90.00 90.00°
Sites, in units of the cell vectors:
Al1 0.000 0.000 0.000
Ir1 0.500 0.500 0.223
Pt1 0.000 0.000 0.489
Pt2 0.500 0.500 0.769

SG = P4mm, No. 99
Energy relative to the elements = -0.47 eV/atom
Crystal system = tetragonal

=====

No. 6
Computed, not measured: crystalline AlIr3Pt at its relaxed geometry at the PBE level of DFT.

Cell: 4.786 4.786 4.786 Å, 90.00 90.00 90.00°
Sites, in units of the cell vectors:
Al1 0.000 0.000 0.000
Ir1 0.000 0.500 0.500
Ir2 0.500 0.000 0.500
Ir3 0.500 0.500 0.000
Pt1 0.500 0.500 0.500

ΔE to the lowest computed polymorph = 668.3 meV/atom
SG = Pm-3m, No. 221
Energy relative to the elements = 1.86 eV/atom
Crystal system = cubic

=====

No. 7
Computed, not measured: crystalline AlIrPt2 at its relaxed geometry at the PBE level of DFT.

Cell: 8.806 8.806 8.806 Å, 18.47 18.47 18.47°
Sites, in units of the cell vectors:
Al1 0.000 0.000 0.000
Ir1 0.500 0.500 0.500
Pt1 0.257 0.257 0.257
Pt2 0.743 0.743 0.743

SG = R-3m, No. 166
Energy relative to the elements = -0.37 eV/atom
Crystal system = trigonal

=====

No. 8
Computed, not measured: crystalline Al2IrPt at its relaxed geometry at the PBE level of DFT.

Cell: 8.237 8.237 8.237 Å, 20.35 20.35 20.35°
Sites, in units of the cell vectors:
Al1 0.248 0.248 0.248
Al2 0.752 0.752 0.752
Ir1 0.500 0.500 0.500
Pt1 0.000 0.000 0.000

SG = R-3m, No. 166
Energy relative to the elements = -0.71 eV/atom
Crystal system = trigonal